Below is a relaxed structure of Pa2ZnCo3H12, with properties calculated at the GGA-PBE level.

Summary:
The energy comes out at -4.582 eV/atom. The crystal system is trigonal.

The structure in extended XYZ format:
```
18
Lattice="3.0371 1.7535 4.3247 -3.0371 1.7535 4.3247 0.0000 -3.5069 4.3247" Properties=species:S:1:pos:R:3 pbc="T T T"
Pa 0.0000 0.0000 1.2807
Pa 0.0000 0.0000 11.6933
Zn 0.0000 0.0000 6.4870
Co -1.5185 -0.8767 4.3247
Co -1.5185 0.8767 8.6493
Co 0.0000 1.7535 4.3247
H -1.5693 -0.9060 5.8703
H 0.0000 -1.5067 4.2679
H -1.3049 0.7534 4.2679
H 0.0000 -1.8121 7.1037
H -1.5693 0.9060 7.1037
H -1.3049 -0.7534 8.7061
H 1.3049 0.7534 4.2679
H 1.5693 -0.9061 5.8703
H 0.0000 1.8121 5.8703
H 1.3049 -0.7534 8.7061
H 0.0000 1.5067 8.7061
H 1.5693 0.9060 7.1037
```


Below is a relaxed structure of AcSmAlHg, with properties calculated at the GGA-PBE level.

Summary:
The energy comes out at -3.543 eV/atom. The crystal system is cubic.

The structure in extended XYZ format:
```
4
Lattice="0.0000 3.8988 3.8988 3.8988 0.0000 3.8988 3.8988 3.8988 0.0000" Properties=species:S:1:pos:R:3 pbc="T T T"
Ac 0.0000 0.0000 0.0000
Sm 3.8988 3.8988 3.8988
Al 5.8482 5.8482 5.8482
Hg 1.9494 1.9494 1.9494
```


Below is a relaxed structure of Ac2TbP3Rh4, with properties calculated at the GGA-PBE level.

Summary:
The energy comes out at -6.853 eV/atom. The crystal system is tetragonal.

The structure in extended XYZ format:
```
10
Lattice="4.1413 0.0000 0.0000 0.0000 4.1413 0.0000 0.0000 0.0000 11.3912" Properties=species:S:1:pos:R:3 pbc="T T T"
Ac 0.0000 2.0706 2.6211
Ac 2.0706 0.0000 8.7701
Tb 0.0000 0.0000 5.6956
P 0.0000 2.0706 10.0403
P 2.0706 0.0000 1.3509
P 2.0706 2.0706 5.6956
Rh 0.0000 0.0000 0.0000
Rh 0.0000 2.0706 7.6215
Rh 2.0706 0.0000 3.7696
Rh 2.0706 2.0706 0.0000
```


Below is a relaxed structure of Tl2SiMo, with properties calculated at the GGA-PBE level.

Summary:
The energy comes out at -4.401 eV/atom. Its formation energy without anion corrections is 81.6 kJ per mole of atoms. The crystal system is orthorhombic. As for the energy above the lowest structure with this stoichiometry: 556 meV/atom.

The structure in extended XYZ format:
```
4
Lattice="-1.8472 2.3272 4.6390 1.8472 -2.3272 4.6390 1.8472 2.3272 -4.6390" Properties=species:S:1:pos:R:3 pbc="T T T"
Tl 0.0000 0.0000 2.2668
Tl 0.0000 0.0000 7.0111
Si 1.8472 0.0000 0.0000
Mo 0.0000 2.3272 0.0000
```